Here is a relaxed BeCrP2O crystal from Alexandria via LeMat-Bulk. Energies are from PBEsol.

Summary:
Crystal system: tetragonal
Energy relative to the elements, uncorrected (eV/atom): 0.03
SG: No. 123

abc: 4.5361 4.5361 3.4136
angles: 90.00 90.00 90.00
Atoms (fractional coordinates):
1 Be 0.0000 0.0000 0.0000
2 Cr 0.5000 0.5000 0.5000
3 P 0.0000 0.5000 0.5000
4 P 0.5000 0.0000 0.5000
5 O 0.5000 0.5000 0.0000

=====

Here is a relaxed BeCrP2O crystal from Alexandria via LeMat-Bulk. Energies are from PBEsol.

Summary:
Crystal system: tetragonal
Energy relative to the elements, uncorrected (eV/atom): -0.05
SG: No. 123

abc: 4.6985 4.6985 2.8822
angles: 90.00 90.00 90.00
Atoms (fractional coordinates):
1 Be 0.0000 0.0000 0.0000
2 Cr 0.5000 0.5000 0.5000
3 P 0.0000 0.5000 0.0000
4 P 0.5000 0.0000 0.0000
5 O 0.0000 0.0000 0.5000

=====

Here is a relaxed Be2CrOs crystal from Alexandria via LeMat-Bulk. Energies are from PBEsol.

Summary:
Crystal system: cubic
Energy of formation (meV per atom): 23
SG: No. 225

abc: 3.8878 3.8878 3.8878
angles: 60.00 60.00 60.00
Atoms (fractional coordinates):
1 Be 0.2500 0.2500 0.2500
2 Be 0.7500 0.7500 0.7500
3 Cr 0.0000 0.0000 0.0000
4 Os 0.5000 0.5000 0.5000

=====

Here is a relaxed BeCrOs crystal from Alexandria via LeMat-Bulk. Energies are from PBEsol.

Summary:
Crystal system: tetragonal
Energy of formation (meV per atom): -115
SG: No. 107

abc: 4.5263 4.5263 4.5263
angles: 143.02 143.02 53.29
Atoms (fractional coordinates):
1 Be 0.0000 0.0000 0.0000
2 Cr 0.3384 0.3384 0.0000
3 Os 0.6676 0.6676 0.0000

=====

Number 1: total magnetization 0.001 μB/cell. Number 2: total magnetization 3.442 μB/cell. Number 3: total magnetization 2.226 μB/cell. Number 4: total magnetization 0.000 μB/cell.